{
  "formula": "ScMn4Br",
  "functional": "PBE",
  "state": "relaxed",
  "lattice_angstrom": [[0.000, 3.495, 3.495], [3.495, 0.000, 3.495], [3.495, 3.495, 0.000]],
  "species": ["Sc", "Mn", "Mn", "Mn", "Mn", "Br"],
  "fractional_positions": [[0.000, 0.000, 0.000], [0.375, 0.375, 0.375], [0.375, 0.375, 0.876], [0.375, 0.876, 0.375], [0.876, 0.375, 0.375], [0.750, 0.750, 0.750]],
  "volume_a3_per_atom": 14.23,
  "dft_energy_ev_per_atom": -6.918,
  "n_ef_per_ev_cell": 10.70,
  "sg": "No. 216",
  "e_form_raw_mev_per_atom": 529,
  "mass_density_g_cm3": 6.7
}


{
  "formula": "RbMgTi2Cl",
  "functional": "PBE",
  "state": "relaxed",
  "lattice_angstrom": [[5.332, 0.000, 0.000], [0.000, 5.332, 0.000], [0.000, 0.000, 6.436]],
  "species": ["Rb", "Mg", "Ti", "Ti", "Cl"],
  "fractional_positions": [[0.000, 0.000, 0.000], [0.500, 0.500, 0.500], [0.000, 0.500, 0.500], [0.500, 0.000, 0.500], [0.500, 0.500, 0.000]],
  "volume_a3_per_atom": 36.59,
  "dft_energy_ev_per_atom": -3.192,
  "n_ef_per_ev_cell": 9.38,
  "sg": "No. 123",
  "e_form_raw_mev_per_atom": 847,
  "mass_density_g_cm3": 2.2
}